[1]
Below is a relaxed structure of Th2TeO, with properties calculated at the PBE level.

Cell: 3.8309 3.8309 7.7107 Å, 75.62 75.62 60.00°
With the nearest neighbours (Å) after each atom.
Atoms (fractional coordinates):
Te  0.5000  0.5000  0.5000  6 Th 3.20
O  0.0000  0.0000  0.0000  6 Th 2.61
Th  0.2708  0.2708  0.1875  3 O 2.61
Th  0.7292  0.7292  0.8125  3 O 2.61

## Properties
The value obtained for the final energy is -7.466 eV per atom. For the volume, the calculation gives 23.5 Å³ per atom. The calculation puts the raw formation energy at -1.731 eV/atom. The size of the total moment is 0.00 μB per formula unit.



[2]
Below is a relaxed structure of FeRuPb2, with properties calculated at the PBE level.

Cell: 4.8666 4.8666 4.8666 Å, 60.00 60.00 60.00°
With the nearest neighbours (Å) after each atom.
Atoms (fractional coordinates):
Fe  0.5000  0.5000  0.5000  4 Ru 2.98, 4 Pb 2.98
Ru  0.7500  0.7500  0.7500  4 Pb 2.98, 4 Fe 2.98
Pb  0.0000  0.0000  0.0000  4 Pb 2.98, 4 Ru 2.98
Pb  0.2500  0.2500  0.2500  4 Fe 2.98, 4 Pb 2.98

## Properties
The value obtained for the final energy is -5.493 eV per atom. For the volume, the calculation gives 20.4 Å³ per atom. The value obtained for the polymorph energy (0 for the lowest one) is 46.5 kJ per mole of atoms. The calculation puts the formation enthalpy at 0 K at 0.80 eV per atom. The size of the total moment is 3.41 μB per formula unit.



[3]
Below is a relaxed structure of Sr4PdRh, with properties calculated at the PBE level.

Cell: 6.9030 8.2144 8.7134 Å, 113.91 108.51 99.61°
With the nearest neighbours (Å) after each atom.
Atoms (fractional coordinates):
Rh  0.2485  0.9985  0.9970  8 Sr 3.06-3.23
Rh  0.7515  0.0015  0.0030  8 Sr 3.06-3.23
Sr  0.9968  0.7624  0.1176  2 Rh 3.06-3.09, 2 Pd 3.14-3.41
Sr  0.0032  0.2376  0.8824  2 Rh 3.06-3.09, 2 Pd 3.14-3.41
Sr  0.7938  0.6984  0.6492  2 Rh 3.22-3.23, 2 Pd 3.24-3.35
Sr  0.3554  0.9509  0.6492  2 Rh 3.22-3.23, 2 Pd 3.24-3.35
Sr  0.6446  0.0491  0.3508  2 Rh 3.22-3.23, 2 Pd 3.24-3.35
Sr  0.3792  0.6448  0.8824  2 Rh 3.06-3.09, 2 Pd 3.14-3.41
Sr  0.2062  0.3016  0.3508  2 Rh 3.22-3.23, 2 Pd 3.24-3.35
Sr  0.6208  0.3552  0.1176  2 Rh 3.06-3.09, 2 Pd 3.14-3.41
Pd  0.3863  0.6363  0.2726  8 Sr 3.14-3.41
Pd  0.6137  0.3637  0.7274  8 Sr 3.14-3.41

## Properties
The value obtained for the final energy is -3.565 eV per atom. For the volume, the calculation gives 33.6 Å³ per atom. The value obtained for the polymorph energy (0 for the lowest one) is 0.0 kJ per mole of atoms. The calculation puts the formation enthalpy at 0 K at -0.35 eV per atom. The size of the total moment is 0.00 μB per formula unit.



no.,mass density (kg/m3)
1,10748
2,11640
3,4617